# 1
Density functional theory data (PBE) for a relaxed AlZn2AgO4 crystal.

a b c (Å): 5.491 5.491 5.491
angles (deg): 127.40 127.40 77.59
Atoms (fractional coordinates):
1 Ag 0.500 0.500 0.000
2 Zn 0.250 0.750 0.500
3 Zn 0.750 0.250 0.500
4 O 0.929 0.333 0.000
5 O 0.667 0.667 0.596
6 O 0.071 0.071 0.404
7 O 0.333 0.929 0.000
8 Al 0.000 0.000 0.000

Values from the calculation:
**Total magnetic moment**: 0.000 μB per cell
**Fermi-level density of states**: 0.7 states/eV per cell
**Raw formation energy**: -1.6147 eV/atom

=====

# 2
Density functional theory data (PBE) for a relaxed TbEr8Tm6 crystal.

a b c (Å): 8.891 8.891 8.487
angles (deg): 58.41 58.41 60.00
Atoms (fractional coordinates):
1 Tm 0.112 0.227 0.121
2 Tm 0.888 0.773 0.879
3 Tm 0.460 0.888 0.879
4 Tm 0.540 0.112 0.121
5 Tm 0.227 0.540 0.121
6 Tm 0.773 0.460 0.879
7 Er 0.576 0.576 0.271
8 Er 0.257 0.279 0.573
9 Er 0.424 0.424 0.729
10 Er 0.721 0.110 0.427
11 Er 0.110 0.743 0.427
12 Er 0.279 0.890 0.573
13 Er 0.743 0.721 0.427
14 Er 0.890 0.257 0.573
15 Tb 0.000 0.000 0.000

Values from the calculation:
**Offset from the most stable computed form**: 0.0 kJ per mole of atoms
**Total magnetic moment**: 0.001 μB per cell
**Fermi-level density of states**: 22.8 states/eV per cell
**Energy relative to the elements**: 136 meV per atom

=====

# 3
Density functional theory data (PBE) for a relaxed Tb8Pr6Sc crystal.

a b c (Å): 9.155 9.155 8.738
angles (deg): 58.41 58.41 60.00
Atoms (fractional coordinates):
1 Pr 0.100 0.230 0.129
2 Pr 0.541 0.100 0.129
3 Pr 0.459 0.900 0.871
4 Pr 0.900 0.770 0.871
5 Pr 0.230 0.541 0.129
6 Pr 0.770 0.459 0.871
7 Tb 0.753 0.717 0.418
8 Tb 0.888 0.247 0.582
9 Tb 0.577 0.577 0.269
10 Tb 0.283 0.888 0.582
11 Tb 0.717 0.112 0.418
12 Tb 0.423 0.423 0.731
13 Tb 0.112 0.753 0.418
14 Tb 0.247 0.283 0.582
15 Sc 0.000 0.000 0.000

Values from the calculation:
**Total magnetic moment**: 0.000 μB per cell
**Fermi-level density of states**: 22.0 states/eV per cell
**Energy relative to the elements**: 112 meV per atom

=====

# 4
Density functional theory data (PBE) for a relaxed LaNb2N3 crystal.

a b c (Å): 3.346 4.315 11.128
angles (deg): 90.00 90.00 90.00
Atoms (fractional coordinates):
1 Nb 0.250 0.750 0.939
2 Nb 0.750 0.250 0.439
3 Nb 0.250 0.750 0.561
4 Nb 0.750 0.250 0.061
5 N 0.250 0.250 0.932
6 N 0.250 0.250 0.568
7 N 0.750 0.750 0.068
8 N 0.750 0.750 0.432
9 N 0.250 0.750 0.750
10 N 0.750 0.250 0.250
11 La 0.750 0.250 0.750
12 La 0.250 0.750 0.250

Values from the calculation:
**Offset from the most stable computed form**: 0.0 kJ per mole of atoms
**Total magnetic moment**: 0.000 μB per cell
**Fermi-level density of states**: 6.5 states/eV per cell
**Raw formation energy**: -1.2027 eV/atom

=====

# 5
Density functional theory data (PBE) for a relaxed MgPaNi2H6 crystal.

a b c (Å): 4.353 4.353 5.666
angles (deg): 67.41 67.41 60.00
Atoms (fractional coordinates):
1 Mg 0.500 0.500 0.500
2 Pa 0.000 0.000 0.000
3 H 0.939 0.440 0.180
4 H 0.440 0.441 0.180
5 H 0.560 0.559 0.820
6 H 0.441 0.939 0.180
7 H 0.559 0.061 0.820
8 H 0.061 0.560 0.820
9 Ni 0.791 0.791 0.627
10 Ni 0.209 0.209 0.373

Values from the calculation:
**Total magnetic moment**: 0.000 μB per cell
**Fermi-level density of states**: 5.5 states/eV per cell
**E**: -4.53 eV/atom

=====

# 6
Density functional theory data (PBE) for a relaxed Fe4PdRh3 crystal.

a b c (Å): 4.368 5.814 8.657
angles (deg): 90.00 90.00 90.00
Last column: magnetic moment on the atom in μB.
Atoms (fractional coordinates):
1 Fe 0.500 0.751 0.000  3.14
2 Fe 0.061 0.248 0.750  3.15
3 Fe 0.500 0.751 0.500  3.14
4 Fe 0.500 0.249 0.500  3.14
5 Fe 0.939 0.752 0.250  3.15
6 Fe 0.500 0.249 0.000  3.14
7 Fe 0.939 0.248 0.250  3.15
8 Fe 0.061 0.752 0.750  3.15
9 Rh 0.440 0.500 0.250  0.91
10 Rh 0.560 0.500 0.750  0.91
11 Rh 0.000 0.000 0.000  0.99
12 Rh 0.447 0.000 0.250  0.97
13 Rh 0.553 0.000 0.750  0.97
14 Rh 0.000 0.000 0.500  0.99
15 Pd 0.000 0.500 0.000  0.38
16 Pd 0.000 0.500 0.500  0.38

Values from the calculation:
**Total magnetic moment**: 31.642 μB per cell
**Fermi-level density of states**: 14.4 states/eV per cell
**Energy relative to the elements**: -21 meV per atom